Here is a relaxed structure of U2AlFe5Si2 from Alexandria. Energies are from PBE.

Calculated values
Total magnetic moment = 0.65 μB/f.u.
E_form (uncorrected) = -2.121 eV per formula unit

abc: 9.4803 9.4803 3.1631
angles: 90.00 90.00 90.00
With the nearest neighbours (Å) after each atom.
Space group P4/mbm (No. 127)
One atom of each set of equivalent atoms:
U: 0.1775 0.3225 0.0000  3 Si 2.71-2.87, 10 Fe 2.86-3.03
Al: 0.0000 0.0000 0.0000  8 Fe 2.65
Fe: 0.0000 0.5000 0.5000  4 Si 2.26
Fe: 0.0717 0.7876 0.5000  2 Si 2.29
Si: 0.1202 0.6202 0.0000  6 Fe 2.26-2.29